Here is crystalline BeZnCo2 at its relaxed geometry from the Alexandria database. Energies are from GGA-PBE.

Cell: 2.658 2.658 6.053 Å, 90.00 90.00 90.00°
Last column: magnetic moment on the atom in μB.
Sites, in units of the cell vectors:
Zn: 0.000 0.000 0.516  -0.03
Be: 0.500 0.500 0.780  -0.03
Co: 0.000 0.000 0.978  1.12
Co: 0.500 0.500 0.227  1.45

Calculated values
crystal system: tetragonal
electronic total energy: -19.48 eV/f.u.
Fermi-level density of states: 0.473 states/eV/atom
SG: No. 99
size of the total moment: 2.4 μB/f.u.
relative energy among the computed polymorphs: 0.19 eV per formula unit
formation energy: -0.27 eV per formula unit

Here is crystalline Be2ZnCo at its relaxed geometry from the Alexandria database. Energies are from GGA-PBE.

Cell: 4.382 4.382 3.822 Å, 64.34 64.34 38.04°
Sites, in units of the cell vectors:
Zn: 0.250 0.250 0.250
Co: 0.750 0.750 0.750
Be: 0.490 0.490 0.511
Be: 0.010 0.010 0.989

Calculated values
crystal system: monoclinic
electronic total energy: -16.06 eV/f.u.
Fermi-level density of states: 0.346 states/eV/atom
SG: No. 12
size of the total moment: 0.0 μB/f.u.
formation energy: -0.23 eV per formula unit

Here is crystalline BeZnCo2 at its relaxed geometry from the Alexandria database. Energies are from GGA-PBE.

Cell: 3.390 3.390 8.674 Å, 78.73 78.73 90.00°
Last column: magnetic moment on the atom in μB.
Sites, in units of the cell vectors:
Co: 0.875 0.852 0.750  1.47
Be: 0.250 0.750 0.500  -0.03
Co: 0.148 0.625 0.250  1.45
Zn: 0.000 0.000 0.000  -0.02
Co: 0.602 0.125 0.250  1.45
Zn: 0.750 0.250 0.500  -0.02
Be: 0.500 0.500 0.000  -0.03
Co: 0.375 0.398 0.750  1.48

Calculated values
crystal system: tetragonal
electronic total energy: -17.72 eV/f.u.
Fermi-level density of states: 0.741 states/eV/atom
SG: No. 122
size of the total moment: 2.9 μB/f.u.
relative energy among the computed polymorphs: 1.95 eV per formula unit
formation energy: 1.49 eV per formula unit

Here is crystalline BeZn2Co at its relaxed geometry from the Alexandria database. Energies are from GGA-PBE.

Cell: 4.585 4.585 4.585 Å, 135.68 135.68 64.48°
Last column: magnetic moment on the atom in μB.
Sites, in units of the cell vectors:
Co: 0.750 0.250 0.500  0.71
Be: 0.250 0.750 0.500  -0.01
Zn: 0.500 0.500 0.000  -0.02
Zn: 0.000 0.000 0.000  -0.02

Calculated values
crystal system: tetragonal
electronic total energy: -13.35 eV/f.u.
Fermi-level density of states: 0.543 states/eV/atom
SG: No. 139
size of the total moment: 0.6 μB/f.u.
formation energy: 0.03 eV per formula unit

Here is crystalline BeZn2Co at its relaxed geometry from the Alexandria database. Energies are from GGA-PBE.

Cell: 3.441 3.441 8.990 Å, 78.97 78.97 90.00°
Last column: magnetic moment on the atom in μB.
Sites, in units of the cell vectors:
Zn: 0.375 0.374 0.750  -0.01
Zn: 0.875 0.876 0.750  -0.01
Co: 0.750 0.250 0.500  0.38
Zn: 0.626 0.125 0.250  -0.01
Zn: 0.124 0.625 0.250  -0.01
Co: 0.000 0.000 0.000  0.37
Be: 0.250 0.750 0.500  -0.01
Be: 0.500 0.500 0.000  -0.01

Calculated values
crystal system: tetragonal
electronic total energy: -11.93 eV/f.u.
Fermi-level density of states: 0.588 states/eV/atom
SG: No. 122
size of the total moment: 0.3 μB/f.u.
formation energy: 1.45 eV per formula unit

Here is crystalline Be2ZnCo at its relaxed geometry from the Alexandria database. Energies are from GGA-PBE.

Cell: 7.925 7.925 7.925 Å, 18.13 18.13 18.13°
Last column: magnetic moment on the atom in μB.
Sites, in units of the cell vectors:
Zn: 0.750 0.750 0.750  0.00
Be: 0.510 0.510 0.510  -0.01
Be: 0.990 0.990 0.990  -0.01
Co: 0.250 0.250 0.250  0.67

Calculated values
crystal system: trigonal
electronic total energy: -15.51 eV/f.u.
Fermi-level density of states: 0.615 states/eV/atom
SG: No. 166
size of the total moment: 0.6 μB/f.u.
formation energy: 0.33 eV per formula unit